(1)
This record from the Alexandria database describes a relaxed structure of NaTl2Cd3. The functional is PBE.

M_tot, μB per formula unit: 0.00
ΔE_f, eV/atom: -0.009
SG: Pmma, No. 51

Cell lengths 5.803, 6.062, 9.115 Å; angles 90.00, 90.00, 90.00 degrees
Fractional coordinates of all 12 atoms:
Na 0.750 0.500 0.572
Na 0.250 0.500 0.428
Tl 0.250 0.500 0.091
Tl 0.250 0.000 0.360
Tl 0.750 0.000 0.640
Tl 0.750 0.500 0.909
Cd 0.000 0.000 0.000
Cd 0.500 0.000 0.000
Cd 0.750 0.254 0.262
Cd 0.750 0.746 0.262
Cd 0.250 0.254 0.738
Cd 0.250 0.746 0.738


(2)
This record from the Alexandria database describes a relaxed structure of Na8TlCd2. The functional is PBE.

M_tot, μB per formula unit: 0.00
ΔE_f, eV/atom: -0.055
SG: P1, No. 1

Cell lengths 4.992, 7.449, 10.722 Å; angles 121.39, 103.82, 89.76 degrees
Fractional coordinates of all 11 atoms:
Na 0.637 0.184 0.909
Na 0.999 0.093 0.637
Na 0.271 0.285 0.178
Na 0.721 0.890 0.076
Na 0.365 0.987 0.368
Na 0.916 0.380 0.468
Na 0.179 0.550 0.992
Na 0.457 0.723 0.553
Tl 0.090 0.810 0.816
Cd 0.818 0.636 0.274
Cd 0.547 0.462 0.728


(3)
This record from the Alexandria database describes a relaxed structure of Na15Tl2Cd2. The functional is PBE.

M_tot, μB per formula unit: 0.00
ΔE_f, eV/atom: 0.053
SG: R-3m, No. 166

Cell lengths 9.093, 9.093, 9.093 Å; angles 67.88, 67.88, 67.88 degrees
Fractional coordinates of all 19 atoms:
Na 0.000 0.500 0.000
Na 0.000 0.000 0.500
Na 0.500 0.000 0.000
Na 0.300 0.000 0.700
Na 0.700 0.300 0.000
Na 0.000 0.700 0.300
Na 0.300 0.700 0.000
Na 0.000 0.300 0.700
Na 0.700 0.000 0.300
Na 0.437 0.805 0.437
Na 0.437 0.437 0.805
Na 0.805 0.437 0.437
Na 0.563 0.195 0.563
Na 0.563 0.563 0.195
Na 0.195 0.563 0.563
Tl 0.704 0.704 0.704
Tl 0.296 0.296 0.296
Cd 0.923 0.923 0.923
Cd 0.077 0.077 0.077


(4)
This record from the Alexandria database describes a relaxed structure of NaTl3Cd. The functional is PBE.

M_tot, μB per formula unit: 0.00
ΔE_f, eV/atom: 0.371
SG: Pm-3m, No. 221
Distance to the lowest polymorph of the same formula, meV/atom: 417.1

Cell lengths 5.655, 5.655, 5.655 Å; angles 90.00, 90.00, 90.00 degrees
Fractional coordinates of all 5 atoms:
Na 0.000 0.000 0.000
Tl 0.000 0.500 0.000
Tl 0.000 0.000 0.500
Tl 0.500 0.000 0.000
Cd 0.500 0.500 0.500


(5)
This record from the Alexandria database describes a relaxed structure of Na6TlCd2. The functional is PBE.

M_tot, μB per formula unit: 0.00
ΔE_f, eV/atom: 0.138
SG: P4_2/mnm, No. 136
Distance to the lowest polymorph of the same formula, meV/atom: 185.6

Cell lengths 7.172, 7.172, 14.202 Å; angles 90.00, 90.00, 90.00 degrees
Fractional coordinates of all 18 atoms:
Na 0.701 0.701 0.163
Na 0.701 0.701 0.837
Na 0.695 0.695 0.500
Na 0.805 0.195 0.000
Na 0.799 0.201 0.337
Na 0.799 0.201 0.663
Na 0.201 0.799 0.337
Na 0.201 0.799 0.663
Na 0.195 0.805 0.000
Na 0.305 0.305 0.500
Na 0.299 0.299 0.163
Na 0.299 0.299 0.837
Tl 0.500 0.500 0.000
Tl 0.000 0.000 0.500
Cd 0.500 0.500 0.329
Cd 0.500 0.500 0.671
Cd 0.000 0.000 0.171
Cd 0.000 0.000 0.829


(6)
This record from the Alexandria database describes a relaxed structure of NaTl5Cd3. The functional is PBE.

M_tot, μB per formula unit: 0.00
ΔE_f, eV/atom: 0.099
SG: C2/m, No. 12

Cell lengths 8.310, 8.310, 12.469 Å; angles 55.98, 55.98, 72.76 degrees
Fractional coordinates of all 18 atoms:
Na 0.080 0.080 0.691
Na 0.920 0.920 0.309
Tl 0.948 0.428 0.421
Tl 0.301 0.699 0.000
Tl 0.755 0.755 0.032
Tl 0.420 0.420 0.310
Tl 0.580 0.580 0.690
Tl 0.245 0.245 0.968
Tl 0.428 0.948 0.421
Tl 0.699 0.301 0.000
Tl 0.052 0.572 0.579
Tl 0.572 0.052 0.579
Cd 0.744 0.744 0.806
Cd 0.640 0.640 0.341
Cd 0.000 0.000 0.000
Cd 0.000 0.000 0.500
Cd 0.256 0.256 0.194
Cd 0.360 0.360 0.659


(7)
This record from the Alexandria database describes a relaxed structure of Na12Tl2Cd5. The functional is PBE.

M_tot, μB per formula unit: 0.00
ΔE_f, eV/atom: -0.071
SG: C2/m, No. 12
Distance to the lowest polymorph of the same formula, meV/atom: 0.0

Cell lengths 11.034, 8.380, 8.550 Å; angles 78.62, 90.00, 131.17 degrees
Fractional coordinates of all 19 atoms:
Na 0.900 0.800 0.165
Na 0.990 0.637 0.819
Na 0.647 0.637 0.819
Na 0.155 0.786 0.394
Na 0.631 0.786 0.394
Na 0.389 0.778 0.740
Na 0.611 0.222 0.260
Na 0.845 0.214 0.606
Na 0.369 0.214 0.606
Na 0.010 0.363 0.181
Na 0.353 0.363 0.181
Na 0.100 0.200 0.835
Tl 0.736 0.000 0.000
Tl 0.264 0.000 0.000
Cd 0.240 0.480 0.469
Cd 0.390 0.780 0.139
Cd 0.000 0.000 0.500
Cd 0.610 0.220 0.861
Cd 0.760 0.520 0.531


(8)
This record from the Alexandria database describes a relaxed structure of Na6TlCd23. The functional is PBE.

M_tot, μB per formula unit: 0.00
ΔE_f, eV/atom: -0.070
SG: Fm-3m, No. 225

Cell lengths 10.061, 10.061, 10.061 Å; angles 60.00, 60.00, 60.00 degrees
Fractional coordinates of all 30 atoms:
Na 0.732 0.732 0.268
Na 0.268 0.268 0.732
Na 0.732 0.268 0.268
Na 0.268 0.732 0.732
Na 0.732 0.268 0.732
Na 0.268 0.732 0.268
Tl 0.500 0.500 0.500
Cd 0.625 0.125 0.125
Cd 0.375 0.875 0.875
Cd 0.125 0.125 0.625
Cd 0.125 0.125 0.125
Cd 0.875 0.875 0.375
Cd 0.875 0.875 0.875
Cd 0.125 0.625 0.125
Cd 0.875 0.375 0.875
Cd 0.500 0.500 0.000
Cd 0.000 0.000 0.500
Cd 0.500 0.000 0.000
Cd 0.000 0.500 0.500
Cd 0.500 0.000 0.500
Cd 0.000 0.500 0.000
Cd 0.947 0.351 0.351
Cd 0.053 0.649 0.649
Cd 0.351 0.351 0.947
Cd 0.351 0.351 0.351
Cd 0.649 0.649 0.053
Cd 0.649 0.649 0.649
Cd 0.351 0.947 0.351
Cd 0.649 0.053 0.649
Cd 0.000 0.000 0.000